Entry 1:
A geometry-optimized GaFeNiRu structure, computed with PBE-GGA.

POSCAR file:
```
GaFeNiRu
1.0
4.1784 0.0000 0.0000
2.0892 3.6186 0.0000
2.0892 1.2062 3.4116
Ru Fe Ga Ni
1 1 1 1
Cartesian
6.2676 3.6186 2.5587
4.1784 2.4124 1.7058
0.0000 0.0000 0.0000
2.0892 1.2062 0.8529
```

Summary:
* space-group type: F-43m (216)
* energy of formation: -0.18 eV per atom
* calculated total energy: -6.81 eV per atom

***

Entry 2:
A geometry-optimized Sr2PrGaSe5 structure, computed with PBE-GGA.

POSCAR file:
```
Sr2PrGaSe5
1.0
-3.0687 -0.7351 -2.7368
0.0035 -8.2035 5.3870
-8.4885 5.3100 8.0918
Sr Pr Ga Se
4 2 2 10
Cartesian
-9.7147 -2.4989 8.3765
-6.1467 1.6472 6.4498
-3.1378 -0.3172 3.6036
-4.2615 -5.9924 3.2002
-6.8990 -2.5911 5.2441
-0.8585 -3.4123 1.8791
-9.6027 3.5914 6.6152
-5.0053 -5.3094 7.0384
-1.1535 -6.0881 2.9285
-9.3958 1.1378 7.0422
-8.0369 -4.4583 10.2091
-6.7139 -1.4259 7.9111
-7.5066 -5.3587 6.6687
-6.2749 -0.1211 3.8809
-4.0516 -3.5818 5.5049
-3.8099 1.0131 0.8123
-3.7272 -2.8987 1.7702
-0.4547 -0.5172 0.6487
```

Summary:
* space-group type: Cmc2_1 (36)
* formation energy (no corrections): -154.60 kJ/mol of atoms
* calculated total energy: -4.78 eV per atom

***

Entry 3:
A geometry-optimized Mg2AlSe2 structure, computed with PBE-GGA.

POSCAR file:
```
Mg2AlSe2
1.0
-4.3974 -4.7585 -3.9695
0.1925 -4.9700 5.7445
-2.9442 1.5324 1.4245
Mg Al Se
4 2 4
Cartesian
-2.0113 -3.1891 3.8528
-4.1720 -6.5511 3.0038
-5.1377 -5.0069 -0.6533
-2.9770 -1.6450 0.1957
0.0000 0.0000 0.0000
-2.1024 -4.8642 0.8875
-1.3423 -5.8133 3.4795
-3.5765 -7.2769 0.4364
-2.8625 -3.9152 -1.7045
-0.6284 -2.4516 1.3387
```

Summary:
* space-group type: P4/mbm (127)
* energy relative to the lowest polymorph listed for this composition: 0 meV/atom
* formation energy (no corrections): -49.09 kJ/mol of atoms
* calculated total energy: -3.29 eV per atom

***

Entry 4:
A geometry-optimized Ho6In3Rh structure, computed with PBE-GGA.

POSCAR file:
```
Ho6In3Rh
1.0
-4.9994 0.8683 1.3776
0.4905 -6.8380 6.0900
3.1095 9.4807 5.3090
Ho In Rh
12 6 2
Cartesian
-0.7683 -2.1100 3.5586
-0.6311 5.6210 9.2180
-0.6842 0.8587 1.9927
-0.7152 2.6523 10.7840
1.1609 1.8277 8.0780
-2.5603 1.6833 4.6987
0.4049 3.4332 4.3227
-1.8044 0.0778 8.4539
0.1809 -2.4957 7.2467
-1.5804 6.0067 5.5300
1.4605 7.6581 5.4907
-2.8600 -4.1472 7.2859
0.1809 0.3077 5.4795
-1.5803 3.2033 7.2971
1.3796 4.8867 6.9437
-2.7790 -1.3757 5.8329
2.1677 4.1538 10.2659
-3.5672 -0.6428 2.5107
1.0674 -0.7156 9.3416
-2.4668 4.2266 3.4351
```

Summary:
* space-group type: P2_1/m (11)
* energy of formation: -0.44 eV per atom
* calculated total energy: -4.75 eV per atom

***

Entry 5:
A geometry-optimized Ag2MoOs structure, computed with PBE-GGA.

POSCAR file:
```
Ag2MoOs
1.0
-2.0062 -3.9744 -0.7514
2.4625 -3.5703 -1.2546
0.6331 -3.4269 2.8707
Ag Mo Os
2 1 1
Cartesian
0.0000 0.0000 0.0000
0.2724 -2.7429 0.2162
0.5447 -5.4858 0.4323
0.8171 -8.2287 0.6485
```

Summary:
* space-group type: F-43m (216)
* energy of formation: 0.70 eV per atom
* energy relative to the lowest polymorph listed for this composition: 460 meV/atom
* calculated total energy: -6.24 eV per atom

***

Entry 6:
A geometry-optimized TaMoW2 structure, computed with PBE-GGA.

POSCAR file:
```
TaMoW2
1.0
5.1406 -0.1515 0.0000
1.8896 4.0366 0.0000
2.5703 -0.0757 6.8280
Ta Mo W
2 2 4
Cartesian
5.6130 0.8577 1.2985
3.9875 2.9517 5.5295
3.0427 0.9334 3.4599
6.5578 2.8759 3.3681
2.8467 2.3135 1.0991
5.1283 3.5898 1.0991
6.7538 1.4958 5.7290
4.4722 0.2195 5.7290
```

Summary:
* space-group type: C2/c (15)
* energy of formation: 0.49 eV per atom
* energy relative to the lowest polymorph listed for this composition: 626 meV/atom
* calculated total energy: -11.65 eV per atom

***

Entry 7:
A geometry-optimized K6Na structure, computed with PBE-GGA.

POSCAR file:
```
K6Na
1.0
7.0080 0.0000 0.0000
0.0000 7.0080 0.0000
0.0000 0.0000 10.1327
K Na
6 1
Cartesian
0.0000 0.0000 5.0663
3.5040 3.5040 0.0000
3.5040 0.0000 7.5760
0.0000 3.5040 2.5567
3.5040 0.0000 2.5567
0.0000 3.5040 7.5760
0.0000 0.0000 0.0000
```

Summary:
* space-group type: P4/mmm (123)
* energy of formation: 0.06 eV per atom
* energy relative to the lowest polymorph listed for this composition: 48 meV/atom
* calculated total energy: -1.06 eV per atom

***

Entry 8:
A geometry-optimized PrThBiO2 structure, computed with PBE-GGA.

POSCAR file:
```
PrThBiO2
1.0
4.1043 0.0000 0.0000
0.0000 4.1043 0.0000
-2.0522 -2.0522 6.4986
Pr Th Bi O
1 1 1 2
Cartesian
2.0522 2.0522 4.5436
0.0000 0.0000 2.0745
2.0522 2.0522 0.0144
2.0522 0.0000 3.1824
0.0000 2.0522 3.1824
```

Summary:
* space-group type: I4mm (107)
* formation energy (no corrections): -255.11 kJ/mol of atoms
* calculated total energy: -7.84 eV per atom

***

Question: The highest calculated total energy belongs to which entry?
Answer: K6Na

***

Question: calculated total energy of number 3 (Mg2AlSe2)?
Answer: -3.29 eV per atom